Below is a relaxed EuTl2S crystal, with properties calculated at the PBE-GGA level.

Calculated values
VASP energy = -19.86 eV/cell
Mass density = 7.1 g cm⁻³
Symmetry = No. 166

Cell lengths 3.9230, 3.9230, 10.5795 Å; angles 79.32, 79.32, 60.00 degrees
Closest atoms and distances in Å follow each position.
Sites, in units of the cell vectors:
1 Eu 0.0000 0.0000 0.0000  2 Tl 3.37
2 Tl 0.1087 0.1087 0.6739  3 S 2.89
3 Tl 0.8913 0.8913 0.3261  3 S 2.89
4 S 0.5000 0.5000 0.5000  6 Tl 2.89

---

Below is a relaxed ScHgB crystal, with properties calculated at the PBE-GGA level.

Calculated values
Distance to the lowest polymorph of the same formula = 555 meV/atom
Formation energy = 0.043 eV/atom
Mass density = 8.2 g cm⁻³
Symmetry = No. 62

Cell lengths 8.7303, 3.9273, 6.0318 Å; angles 90.00, 90.00, 90.00 degrees
Closest atoms and distances in Å follow each position.
Sites, in units of the cell vectors:
1 Sc 0.1227 0.2500 0.4021  4 B 2.40-2.53
2 Sc 0.3773 0.7500 0.9021  4 B 2.40-2.53
3 Sc 0.8773 0.7500 0.5979  4 B 2.40-2.53
4 Sc 0.6227 0.2500 0.0979  4 B 2.40-2.53
5 B 0.8492 0.2500 0.3599  4 Sc 2.40-2.53, 3 Hg 2.49-2.51
6 B 0.6508 0.7500 0.8599  4 Sc 2.40-2.53, 3 Hg 2.49-2.51
7 B 0.1508 0.7500 0.6401  4 Sc 2.40-2.53, 3 Hg 2.49-2.51
8 B 0.3492 0.2500 0.1401  4 Sc 2.40-2.53, 3 Hg 2.49-2.51
9 Hg 0.1195 0.2500 0.8885  3 B 2.49-2.51
10 Hg 0.3805 0.7500 0.3885  3 B 2.49-2.51
11 Hg 0.8805 0.7500 0.1115  3 B 2.49-2.51
12 Hg 0.6195 0.2500 0.6115  3 B 2.49-2.51